Entry 1:
Entry from OQMD via LeMat-Bulk: a relaxed structure of NbNiGePd (GGA-PBE).

Output
Energy relative to the lowest polymorph listed for this composition in meV per atom: 58
Space group: No. 216

Cell lengths 4.378, 4.378, 4.378 Å; angles 60.00, 60.00, 60.00 degrees
Positions (direct):
Ge: 0.000 0.000 0.000
Nb: 0.500 0.500 0.500
Ni: 0.750 0.750 0.750
Pd: 0.250 0.250 0.250

Entry 2:
Entry from OQMD via LeMat-Bulk: a relaxed structure of HfZrTe (GGA-PBE).

Output
DFT total energy in eV per atom: -7.210
Space group: No. 216

Cell lengths 4.739, 4.739, 4.739 Å; angles 60.00, 60.00, 60.00 degrees
Positions (direct):
Te: 0.000 0.000 0.000
Zr: 0.750 0.750 0.750
Hf: 0.250 0.250 0.250

Entry 3:
Entry from OQMD via LeMat-Bulk: a relaxed structure of Be2SnPd (GGA-PBE).

Output
DFT total energy in eV per atom: -3.930
Space group: No. 216

Cell lengths 4.317, 4.317, 4.317 Å; angles 60.00, 60.00, 60.00 degrees
Positions (direct):
Pd: 0.250 0.250 0.250
Be: 0.750 0.750 0.750
Sn: 0.500 0.500 0.500
Be: 0.000 0.000 0.000

Entry 4:
Entry from OQMD via LeMat-Bulk: a relaxed structure of RbCuSnS3 (GGA-PBE).

Output
DFT total energy in eV per atom: -4.156
Space group: No. 15

Cell lengths 7.881, 7.881, 20.396 Å; angles 95.55, 95.55, 89.99 degrees
Positions (direct):
Rb: 0.727 0.602 0.910
S: 0.535 0.672 0.189
Cu: 0.437 0.563 0.750
S: 0.828 0.940 0.313
S: 0.237 0.114 0.949
Rb: 0.273 0.398 0.090
S: 0.940 0.828 0.813
S: 0.172 0.534 0.687
S: 0.328 0.465 0.311
S: 0.060 0.172 0.187
S: 0.237 0.611 0.949
Sn: 0.657 0.782 0.629
Sn: 0.343 0.218 0.371
Cu: 0.938 0.062 0.750
Cu: 0.938 0.564 0.750
S: 0.828 0.466 0.313
Sn: 0.843 0.218 0.372
Cu: 0.563 0.437 0.250
S: 0.328 0.941 0.311
S: 0.763 0.389 0.051
S: 0.672 0.535 0.689
S: 0.114 0.237 0.449
Rb: 0.727 0.103 0.910
Sn: 0.218 0.843 0.872
S: 0.534 0.172 0.187
Cu: 0.062 0.938 0.250
Rb: 0.897 0.273 0.590
Rb: 0.273 0.897 0.090
S: 0.389 0.763 0.551
Sn: 0.782 0.157 0.128
S: 0.941 0.328 0.811
Cu: 0.564 0.938 0.250
S: 0.763 0.886 0.051
Rb: 0.398 0.273 0.590
S: 0.465 0.328 0.811
S: 0.886 0.763 0.551
S: 0.466 0.828 0.813
S: 0.059 0.672 0.189
Cu: 0.436 0.062 0.750
Cu: 0.062 0.436 0.250
Rb: 0.602 0.727 0.410
S: 0.672 0.059 0.689
Rb: 0.103 0.727 0.410
S: 0.172 0.059 0.687
S: 0.611 0.237 0.449
Sn: 0.157 0.782 0.628
Sn: 0.218 0.343 0.871
Sn: 0.782 0.657 0.129

What did the first record say?
Entry from OQMD via LeMat-Bulk: a relaxed structure of NbNiGePd (GGA-PBE).

Output
Energy relative to the lowest polymorph listed for this composition in meV per atom: 58
Space group: No. 216

Cell lengths 4.378, 4.378, 4.378 Å; angles 60.00, 60.00, 60.00 degrees
Positions (direct):
Ge: 0.000 0.000 0.000
Nb: 0.500 0.500 0.500
Ni: 0.750 0.750 0.750
Pd: 0.250 0.250 0.250

Question: What is the formula in the second record?
Answer: HfZrTe